# Ta3SiI

Ta3SiI after structural relaxation (PBE, Alexandria).

The calculated volume is 21.68 A^3/atom. The raw formation energy is 6.00 eV per formula unit. The calculation puts the total energy at -7.306 eV per atom. As for the total moment: 0.00 μB/f.u. The value obtained for the energy relative to the lowest polymorph listed for this composition is 0.000 eV/atom.

Cell: 4.7681 4.7681 4.7681 Å, 90.00 90.00 90.00°
Fractional positions:
1 I 0.5000 0.5000 0.5000
2 Si 0.0000 0.0000 0.0000
3 Ta 0.0000 0.5000 0.0000
4 Ta 0.0000 0.0000 0.5000
5 Ta 0.5000 0.0000 0.0000


# YMnS3

YMnS3 after structural relaxation (PBE, Alexandria).

The calculated volume is 19.32 A^3/atom. The raw formation energy is -4.54 eV per formula unit. The calculation puts the total energy at -6.512 eV per atom. As for the total moment: 3.72 μB/f.u.

Cell: 4.5880 4.5880 4.5880 Å, 90.00 90.00 90.00°
Each line ends with the local moment (μB).
Fractional positions:
1 Y 0.5000 0.5000 0.5000  0.06
2 S 0.0000 0.5000 0.0000  0.01
3 S 0.0000 0.0000 0.5000  0.02
4 S 0.5000 0.0000 0.0000  0.05
5 Mn 0.0000 0.0000 0.0000  3.27


Q: What is the formula in the second record?
A: YMnS3


Q: Which of these has the highest total energy?
A: YMnS3